Entry 1:
VASP calculation (PBE-GGA) on TiPbF5 after structural relaxation.

Structure (POSCAR):
```
TiPbF5
1.0
4.778 -3.503 0.000
4.778 3.503 0.000
-3.290 0.000 7.327
Ti Pb F
2 2 10
direct
0.000 0.000 0.000
0.000 0.000 0.500
0.461 0.539 0.750
0.539 0.461 0.250
0.068 0.932 0.750
0.210 0.227 0.608
0.227 0.210 0.108
0.283 0.708 0.033
0.292 0.717 0.467
0.708 0.283 0.533
0.717 0.292 0.967
0.773 0.790 0.892
0.790 0.773 0.392
0.932 0.068 0.250
```

Values from the calculation:
Total DFT energy (no corrections) in eV/atom: -5.922
Density of states at the Fermi level in states/eV/cell: 3.83
Space-group type: C2/c (15)

=====

Entry 2:
VASP calculation (PBE-GGA) on TiPb2F8 after structural relaxation.

Structure (POSCAR):
```
TiPb2F8
1.0
7.786 -1.978 0.000
7.786 1.978 0.000
-1.611 0.000 5.143
Ti Pb F
1 2 8
direct
0.000 0.000 0.000
0.340 0.340 0.375
0.660 0.660 0.625
0.093 0.093 0.330
0.102 0.102 0.879
0.264 0.264 0.714
0.499 0.499 0.790
0.501 0.501 0.210
0.736 0.736 0.286
0.898 0.898 0.121
0.907 0.907 0.670
```

Values from the calculation:
Total DFT energy (no corrections) in eV/atom: -5.474
Relative energy among the computed polymorphs in meV/atom: 160
Density of states at the Fermi level in states/eV/cell: 0.00
Space-group type: C2/m (12)

=====

Entry 3:
VASP calculation (PBE-GGA) on TiPbF after structural relaxation.

Structure (POSCAR):
```
TiPbF
1.0
5.828 -1.534 0.000
5.828 1.534 0.000
-2.756 0.000 6.990
Ti Pb F
2 2 2
direct
0.223 0.223 0.153
0.777 0.777 0.847
0.483 0.483 0.195
0.517 0.517 0.805
0.217 0.217 0.657
0.783 0.783 0.343
```

Values from the calculation:
Total DFT energy (no corrections) in eV/atom: -5.736
Relative energy among the computed polymorphs in meV/atom: 35
Density of states at the Fermi level in states/eV/cell: 4.57
Space-group type: C2/m (12)

=====

Entry 4:
VASP calculation (PBE-GGA) on TiPbF after structural relaxation.

Structure (POSCAR):
```
TiPbF
1.0
5.400 0.000 0.000
0.000 3.161 0.000
-1.798 0.000 6.662
Ti Pb F
2 2 2
direct
0.190 0.250 0.451
0.810 0.750 0.549
0.208 0.250 0.897
0.792 0.750 0.103
0.415 0.750 0.361
0.585 0.250 0.639
```

Values from the calculation:
Total DFT energy (no corrections) in eV/atom: -5.735
Relative energy among the computed polymorphs in meV/atom: 36
Density of states at the Fermi level in states/eV/cell: 4.58
Space-group type: P2_1/m (11)

=====

Entry 5:
VASP calculation (PBE-GGA) on TiPbF after structural relaxation.

Structure (POSCAR):
```
TiPbF
1.0
3.188 0.000 0.000
0.033 5.924 0.000
0.034 0.138 6.979
Ti Pb F
2 2 2
direct
0.248 0.389 0.343
0.752 0.611 0.657
0.255 0.878 0.326
0.745 0.122 0.674
0.249 0.611 0.831
0.751 0.389 0.169
```

Values from the calculation:
Total DFT energy (no corrections) in eV/atom: -5.771
Relative energy among the computed polymorphs in meV/atom: 0
Density of states at the Fermi level in states/eV/cell: 5.49
Space-group type: P-1 (2)

=====

Entry 6:
VASP calculation (PBE-GGA) on Ti2PbF after structural relaxation.

Structure (POSCAR):
```
Ti2PbF
1.0
0.000 3.313 3.313
3.313 0.000 3.313
3.313 3.313 0.000
Ti Pb F
2 1 1
direct
0.250 0.250 0.250
0.750 0.750 0.750
0.000 0.000 0.000
0.500 0.500 0.500
```

Values from the calculation:
Total DFT energy (no corrections) in eV/atom: -5.739
Relative energy among the computed polymorphs in meV/atom: 152
Density of states at the Fermi level in states/eV/cell: 1.96
Space-group type: Fm-3m (225)

=====

Entry 7:
VASP calculation (PBE-GGA) on TiPbF after structural relaxation.

Structure (POSCAR):
```
TiPbF
1.0
2.730 -1.583 0.000
2.730 1.583 0.000
-1.883 0.000 7.366
Ti Pb F
1 1 1
direct
0.000 0.000 0.000
0.216 0.216 0.659
0.720 0.720 0.158
```

Values from the calculation:
Total DFT energy (no corrections) in eV/atom: -5.715
Relative energy among the computed polymorphs in meV/atom: 57
Density of states at the Fermi level in states/eV/cell: 2.32
Space-group type: Cm (8)

=====

Entry 8:
VASP calculation (PBE-GGA) on TiPb2F8 after structural relaxation.

Structure (POSCAR):
```
TiPb2F8
1.0
5.204 -3.832 0.000
5.204 3.832 0.000
-1.576 0.000 4.577
Ti Pb F
1 2 8
direct
0.000 0.000 0.000
0.342 0.342 0.656
0.658 0.658 0.344
0.063 0.712 0.755
0.117 0.117 0.781
0.288 0.937 0.245
0.415 0.415 0.188
0.585 0.585 0.812
0.712 0.063 0.755
0.883 0.883 0.219
0.937 0.288 0.245
```

Values from the calculation:
Total DFT energy (no corrections) in eV/atom: -5.634
Relative energy among the computed polymorphs in meV/atom: 0
Density of states at the Fermi level in states/eV/cell: 0.00
Space-group type: C2/m (12)

=====

Entry 9:
VASP calculation (PBE-GGA) on TiPbF2 after structural relaxation.

Structure (POSCAR):
```
TiPbF2
1.0
0.000 3.182 3.182
3.182 0.000 3.182
3.182 3.182 0.000
Ti Pb F
1 1 2
direct
0.000 0.000 0.000
0.500 0.500 0.500
0.250 0.250 0.250
0.750 0.750 0.750
```

Values from the calculation:
Total DFT energy (no corrections) in eV/atom: -4.855
Relative energy among the computed polymorphs in meV/atom: 842
Density of states at the Fermi level in states/eV/cell: 2.62
Space-group type: Fm-3m (225)

=====

Entry 10:
VASP calculation (PBE-GGA) on TiPbF3 after structural relaxation.

Structure (POSCAR):
```
TiPbF3
1.0
4.242 0.000 0.000
0.000 4.242 0.000
0.000 0.000 4.242
Ti Pb F
1 1 3
direct
0.000 0.000 0.000
0.500 0.500 0.500
0.000 0.000 0.500
0.000 0.500 0.000
0.500 0.000 0.000
```

Values from the calculation:
Total DFT energy (no corrections) in eV/atom: -5.456
Relative energy among the computed polymorphs in meV/atom: 0
Density of states at the Fermi level in states/eV/cell: 6.92
Space-group type: Pm-3m (221)

=====

Entry 11:
VASP calculation (PBE-GGA) on Ti3Pb5F19 after structural relaxation.

Structure (POSCAR):
```
Ti3Pb5F19
1.0
-7.403 7.403 3.961
7.403 -7.403 3.961
7.403 7.403 -3.961
Ti Pb F
6 10 38
direct
0.000 0.000 0.000
0.041 0.541 0.179
0.362 0.862 0.821
0.500 0.500 0.000
0.541 0.362 0.500
0.862 0.041 0.500
0.047 0.547 0.500
0.072 0.912 0.702
0.211 0.370 0.298
0.370 0.072 0.159
0.412 0.572 0.702
0.547 0.047 0.500
0.572 0.870 0.159
0.711 0.412 0.841
0.870 0.711 0.298
0.912 0.211 0.841
0.035 0.770 0.500
0.060 0.886 0.930
0.096 0.749 0.143
0.099 0.728 0.744
0.106 0.249 0.653
0.130 0.060 0.174
0.223 0.723 0.355
0.228 0.599 0.744
0.249 0.596 0.143
0.251 0.251 0.000
0.270 0.535 0.500
0.355 0.099 0.371
0.368 0.868 0.645
0.377 0.877 0.995
0.382 0.377 0.500
0.386 0.560 0.930
0.453 0.106 0.857
0.456 0.386 0.826
0.484 0.228 0.629
0.535 0.035 0.265
0.560 0.630 0.174
0.596 0.453 0.347
0.599 0.855 0.371
0.606 0.953 0.857
0.630 0.456 0.070
0.723 0.368 0.500
0.728 0.984 0.629
0.749 0.606 0.653
0.751 0.751 0.000
0.770 0.270 0.735
0.855 0.484 0.256
0.868 0.223 0.500
0.877 0.882 0.500
0.882 0.382 0.005
0.886 0.956 0.826
0.953 0.096 0.347
0.956 0.130 0.070
0.984 0.355 0.256
```

Values from the calculation:
Total DFT energy (no corrections) in eV/atom: -5.679
Density of states at the Fermi level in states/eV/cell: 11.69
Space-group type: I4cm (108)

=====

Entry 12:
VASP calculation (PBE-GGA) on Ti2PbF after structural relaxation.

Structure (POSCAR):
```
Ti2PbF
1.0
-2.473 2.473 6.623
2.473 -2.473 6.623
2.473 2.473 -6.623
Ti Pb F
4 2 2
direct
0.000 0.000 0.000
0.000 0.000 0.500
0.000 0.500 0.000
0.500 0.000 0.500
0.375 0.625 0.750
0.625 0.375 0.250
0.125 0.875 0.250
0.875 0.125 0.750
```

Values from the calculation:
Total DFT energy (no corrections) in eV/atom: -5.891
Relative energy among the computed polymorphs in meV/atom: 0
Density of states at the Fermi level in states/eV/cell: 8.22
Space-group type: I4_1/amd (141)

=====

Entry 13:
VASP calculation (PBE-GGA) on TiTlPbF2 after structural relaxation.

Structure (POSCAR):
```
TiTlPbF2
1.0
4.520 0.000 0.000
0.000 4.520 0.000
0.000 0.000 5.846
Ti Tl Pb F
1 1 1 2
direct
0.000 0.000 0.000
0.000 0.000 0.500
0.500 0.500 0.000
0.000 0.500 0.500
0.500 0.000 0.500
```

Values from the calculation:
Total DFT energy (no corrections) in eV/atom: -4.035
Density of states at the Fermi level in states/eV/cell: 3.88
Space-group type: P4/mmm (123)

=====

Entry 14:
VASP calculation (PBE-GGA) on TlPbF3 after structural relaxation.

Structure (POSCAR):
```
TlPbF3
1.0
8.063 0.000 0.000
0.000 6.409 0.000
-0.135 0.000 7.973
Tl Pb F
4 4 12
direct
0.120 0.232 0.385
0.120 0.268 0.885
0.880 0.732 0.115
0.880 0.768 0.615
0.393 0.749 0.872
0.393 0.751 0.372
0.607 0.249 0.628
0.607 0.251 0.128
0.089 0.693 0.872
0.089 0.807 0.372
0.358 0.506 0.626
0.358 0.994 0.126
0.363 0.502 0.119
0.363 0.998 0.619
0.637 0.002 0.381
0.637 0.498 0.881
0.642 0.006 0.874
0.642 0.494 0.374
0.911 0.193 0.628
0.911 0.307 0.128
```

Values from the calculation:
Total DFT energy (no corrections) in eV/atom: -4.454
Density of states at the Fermi level in states/eV/cell: 0.00
Space-group type: P2_1/c (14)

=====

Entry 15:
VASP calculation (PBE-GGA) on TlPb2F after structural relaxation.

Structure (POSCAR):
```
TlPb2F
1.0
-2.791 2.791 8.191
2.791 -2.791 8.191
2.791 2.791 -8.191
Tl Pb F
2 4 2
direct
0.000 0.000 0.000
0.750 0.250 0.500
0.237 0.625 0.112
0.375 0.487 0.612
0.513 0.125 0.888
0.875 0.763 0.388
0.250 0.750 0.500
0.500 0.500 0.000
```

Values from the calculation:
Total DFT energy (no corrections) in eV/atom: -3.471
Relative energy among the computed polymorphs in meV/atom: 0
Density of states at the Fermi level in states/eV/cell: 3.83
Space-group type: I-42d (122)

=====

Entry 16:
VASP calculation (PBE-GGA) on TlPb2F4 after structural relaxation.

Structure (POSCAR):
```
TlPb2F4
1.0
6.829 0.000 0.000
0.076 7.543 0.000
3.086 3.730 5.866
Tl Pb F
2 4 8
direct
0.000 0.000 0.000
0.328 0.787 0.434
0.163 0.288 0.217
0.588 0.847 0.817
0.665 0.343 0.217
0.743 0.449 0.614
0.160 0.591 0.234
0.410 0.539 0.803
0.488 0.202 0.650
0.669 0.688 0.207
0.670 0.183 0.982
0.674 0.948 0.445
0.844 0.635 0.779
0.918 0.113 0.634
```

Values from the calculation:
Total DFT energy (no corrections) in eV/atom: -4.390
Density of states at the Fermi level in states/eV/cell: 1.52
Space-group type: P1 (1)

=====

Entry 17:
VASP calculation (PBE-GGA) on Tl2PbF8 after structural relaxation.

Structure (POSCAR):
```
Tl2PbF8
1.0
7.374 0.000 0.000
-3.687 6.386 0.000
0.000 0.000 4.465
Tl Pb F
2 1 8
direct
0.333 0.667 0.234
0.667 0.333 0.766
0.000 0.000 0.500
0.166 0.336 0.237
0.169 0.834 0.237
0.333 0.667 0.735
0.336 0.169 0.763
0.664 0.831 0.237
0.667 0.333 0.265
0.831 0.166 0.763
0.834 0.664 0.763
```

Values from the calculation:
Total DFT energy (no corrections) in eV/atom: -4.018
Density of states at the Fermi level in states/eV/cell: 0.00
Space-group type: P-3 (147)

=====

Entry 18:
VASP calculation (PBE-GGA) on Tl2Pb2F7 after structural relaxation.

Structure (POSCAR):
```
Tl2Pb2F7
1.0
3.895 -4.412 0.000
3.895 4.412 0.000
0.000 0.000 6.122
Tl Pb F
2 2 7
direct
0.234 0.234 0.000
0.766 0.766 0.000
0.271 0.729 0.500
0.729 0.271 0.500
0.000 0.000 0.500
0.000 0.500 0.241
0.000 0.500 0.759
0.500 0.000 0.241
0.500 0.000 0.759
0.500 0.500 0.232
0.500 0.500 0.768
```

Values from the calculation:
Total DFT energy (no corrections) in eV/atom: -4.346
Density of states at the Fermi level in states/eV/cell: 4.05
Space-group type: Cmmm (65)

=====

Entry 19:
VASP calculation (PBE-GGA) on TlPb2F after structural relaxation.

Structure (POSCAR):
```
TlPb2F
1.0
0.000 3.689 3.689
3.689 0.000 3.689
3.689 3.689 0.000
Tl Pb F
1 2 1
direct
0.000 0.000 0.000
0.250 0.250 0.250
0.750 0.750 0.750
0.500 0.500 0.500
```

Values from the calculation:
Total DFT energy (no corrections) in eV/atom: -3.446
Relative energy among the computed polymorphs in meV/atom: 25
Density of states at the Fermi level in states/eV/cell: 0.22
Space-group type: Fm-3m (225)

=====

Entry 20:
VASP calculation (PBE-GGA) on Tl3PbF after structural relaxation.

Structure (POSCAR):
```
Tl3PbF
1.0
5.264 0.000 0.000
0.000 5.264 0.000
0.000 0.000 5.264
Tl Pb F
3 1 1
direct
0.000 0.000 0.500
0.000 0.500 0.000
0.500 0.000 0.000
0.500 0.500 0.500
0.000 0.000 0.000
```

Values from the calculation:
Total DFT energy (no corrections) in eV/atom: -3.078
Relative energy among the computed polymorphs in meV/atom: 0
Density of states at the Fermi level in states/eV/cell: 3.23
Space-group type: Pm-3m (221)

=====

Entry 21:
VASP calculation (PBE-GGA) on Tl2PbF2 after structural relaxation.

Structure (POSCAR):
```
Tl2PbF2
1.0
6.989 0.000 0.000
0.000 6.989 0.000
0.000 0.000 5.273
Tl Pb F
4 2 4
direct
0.173 0.327 0.000
0.327 0.827 0.000
0.673 0.173 0.000
0.827 0.673 0.000
0.000 0.000 0.500
0.500 0.500 0.500
0.231 0.269 0.500
0.269 0.769 0.500
0.731 0.231 0.500
0.769 0.731 0.500
```

Values from the calculation:
Total DFT energy (no corrections) in eV/atom: -3.690
Density of states at the Fermi level in states/eV/cell: 2.04
Space-group type: P4/mbm (127)

=====

For the records above, the corresponding formation energy from raw total energies values read -282.5, -262.5, -120.1, -120.0, -123.5, -38.3, -118.0, -278.0, -98.3, -194.1, -270.0, -53.0, -47.5, -204.2, -53.8, -185.6, -182.3, -197.9, -51.3, -52.4, -120.9 kJ per mole of atoms.